1.
Density functional theory data (GGA-PBE) for a geometry-optimized YCdS2 structure.

Unit cell a=8.4613 b=8.4613 c=8.4613 alpha=27.24 beta=27.24 gamma=27.24
Positions (direct):
1 S 0.8941 0.8941 0.8941
2 S 0.1059 0.1059 0.1059
3 Cd 0.0000 0.0000 0.0000
4 Y 0.5000 0.5000 0.5000

Calculated values
- VASP energy: -5.133 eV per atom
- Uncorrected formation energy: -1.224 eV/atom
- SG: R-3m (166)
- Spin magnetization: 0.00 μB per formula unit

2.
Density functional theory data (GGA-PBE) for a geometry-optimized BeRe2B structure.

Unit cell a=5.9534 b=5.9534 c=4.9820 alpha=53.31 beta=53.31 gamma=90.00
Positions (direct):
1 Re 0.0919 0.6250 0.2500
2 Re 0.3750 0.3419 0.7500
3 Re 0.6581 0.1250 0.2500
4 Re 0.8750 0.9081 0.7500
5 Be 0.5000 0.5000 0.0000
6 Be 0.2500 0.7500 0.5000
7 B 0.0000 0.0000 0.0000
8 B 0.7500 0.2500 0.5000

Calculated values
- DFT formation energy: 352 meV/atom
- Distance to the lowest polymorph of the same formula: 0.117 eV per atom
- VASP energy: -8.473 eV per atom
- SG: I-42d (122)
- Spin magnetization: 0.00 μB per formula unit

3.
Density functional theory data (GGA-PBE) for a geometry-optimized Te2OsAu structure.

Unit cell a=3.4192 b=3.8094 c=7.2615 alpha=90.00 beta=90.00 gamma=90.00
Positions (direct):
1 Au 0.0000 0.0000 0.5121
2 Te 0.5000 0.5000 0.3569
3 Te 0.0000 0.0000 0.8982
4 Os 0.5000 0.5000 0.7327

Calculated values
- Distance to the lowest polymorph of the same formula: 0.326 eV per atom
- VASP energy: -4.695 eV per atom
- Uncorrected formation energy: 0.503 eV/atom
- SG: Pmm2 (25)
- Spin magnetization: 0.00 μB per formula unit

4.
Density functional theory data (GGA-PBE) for a geometry-optimized Zr2ZnCr2 structure.

Unit cell a=6.5798 b=6.5798 c=3.9835 alpha=90.00 beta=90.00 gamma=90.00
Positions (direct):
1 Zr 0.6838 0.8162 0.5000
2 Zr 0.3162 0.1838 0.5000
3 Zr 0.1838 0.6838 0.5000
4 Zr 0.8162 0.3162 0.5000
5 Cr 0.1075 0.3925 0.0000
6 Cr 0.3925 0.8925 0.0000
7 Cr 0.8925 0.6075 0.0000
8 Cr 0.6075 0.1075 0.0000
9 Zn 0.5000 0.5000 0.0000
10 Zn 0.0000 0.0000 0.0000

Calculated values
- DFT formation energy: 89 meV/atom
- VASP energy: -7.434 eV per atom
- SG: P4/mbm (127)
- Spin magnetization: 0.00 μB per formula unit

5.
Density functional theory data (GGA-PBE) for a geometry-optimized Pa4PCSe2 structure.

Unit cell a=3.7870 b=6.7055 c=7.1111 alpha=107.50 beta=90.00 gamma=90.00
Positions (direct):
1 C 0.5000 0.5000 0.0000
2 Se 0.5000 0.0000 0.5000
3 Se 0.0000 0.5000 0.5000
4 Pa 0.0000 0.2802 0.7905
5 Pa 0.0000 0.7198 0.2095
6 Pa 0.5000 0.2575 0.2213
7 Pa 0.5000 0.7425 0.7787
8 P 0.0000 0.0000 0.0000

Calculated values
- VASP energy: -8.524 eV per atom
- Uncorrected formation energy: -1.076 eV/atom
- SG: P2/m (10)
- Spin magnetization: 0.00 μB per formula unit

6.
Density functional theory data (GGA-PBE) for a geometry-optimized PaAlNi2 structure.

Unit cell a=4.2481 b=4.8598 c=6.3222 alpha=90.00 beta=90.00 gamma=90.00
Positions (direct):
1 Pa 0.5000 0.8183 0.0000
2 Pa 0.0000 0.1817 0.5000
3 Al 0.0000 0.3057 0.0000
4 Al 0.5000 0.6943 0.5000
5 Ni 0.0000 0.6698 0.2894
6 Ni 0.5000 0.3302 0.7894
7 Ni 0.0000 0.6698 0.7106
8 Ni 0.5000 0.3302 0.2106

Calculated values
- DFT formation energy: -502 meV/atom
- VASP energy: -6.703 eV per atom
- SG: Pmmn (59)
- Spin magnetization: 0.00 μB per formula unit

The highest VASP energy belongs to which entry?
Te2OsAu